Entry 1:
## CaGe2As2 (GGA-PBE)

Data for an optimized crystal structure of CaGe2As2.

**Energy of formation from the pure elements**: -0.1620 eV per atom

abc: 7.9065 7.9065 3.7454
angles: 90.00 90.00 90.00
Closest atoms and distances in Å follow each position.
Atoms (fractional coordinates):
As: 0.2438 0.7438 0.5000  2 Ge 2.48
As: 0.7438 0.7562 0.5000  2 Ge 2.48
As: 0.7562 0.2562 0.5000  2 Ge 2.48
As: 0.2562 0.2438 0.5000  2 Ge 2.48
Ca: 0.0000 0.0000 0.0000  4 Ge 3.20, 8 As 3.37
Ca: 0.5000 0.5000 0.0000  4 Ge 3.20, 8 As 3.37
Ge: 0.3892 0.8892 0.0000  1 Ge 2.48, 2 As 2.48
Ge: 0.8892 0.6108 0.0000  1 Ge 2.48, 2 As 2.48
Ge: 0.6108 0.1108 0.0000  1 Ge 2.48, 2 As 2.48
Ge: 0.1108 0.3892 0.0000  1 Ge 2.48, 2 As 2.48

Entry 2:
## CaGeAs (GGA-PBE)

Data for an optimized crystal structure of CaGeAs.

**Energy of formation from the pure elements**: -0.5916 eV per atom

abc: 3.7714 4.9064 8.1280
angles: 90.00 103.41 90.00
Closest atoms and distances in Å follow each position.
Atoms (fractional coordinates):
Ca: 0.6677 0.7500 0.3354  5 As 2.98-3.12, 3 Ge 3.14-3.27
Ca: 0.3323 0.2500 0.6646  5 As 2.98-3.12, 3 Ge 3.14-3.27
Ge: 0.4690 0.7500 0.9380  2 As 2.60, 2 Ge 2.64
Ge: 0.5310 0.2500 0.0620  2 As 2.60, 2 Ge 2.64
As: 0.8563 0.7500 0.7125  2 Ge 2.60
As: 0.1437 0.2500 0.2875  2 Ge 2.60

Entry 3:
## CaGe2As (GGA-PBE)

Data for an optimized crystal structure of CaGe2As.

**Energy of formation from the pure elements**: -0.2210 eV per atom

abc: 8.0163 8.0163 6.3686
angles: 51.00 51.00 90.00
Closest atoms and distances in Å follow each position.
Atoms (fractional coordinates):
As: 0.0000 0.0000 0.0000  4 Ge 2.69, 2 Ca 2.90
As: 0.7500 0.2500 0.5000  4 Ge 2.69, 2 Ca 2.90
Ca: 0.5000 0.5000 0.0000  2 As 2.90, 4 Ge 3.18
Ca: 0.2500 0.7500 0.5000  2 As 2.90, 4 Ge 3.18
Ge: 0.6698 0.1250 0.2500  2 As 2.69, 2 Ge 2.99
Ge: 0.0802 0.6250 0.2500  2 As 2.69, 2 Ge 2.99
Ge: 0.3750 0.3302 0.7500  2 As 2.69, 2 Ge 2.99
Ge: 0.8750 0.9198 0.7500  2 As 2.69, 2 Ge 2.99

Entry 4:
## CaGeAs3 (GGA-PBE)

Data for an optimized crystal structure of CaGeAs3.

**Energy of formation from the pure elements**: 0.1313 eV per atom
**Polymorph energy (0 for the lowest one)**: 0 meV/atom

abc: 5.0085 5.0085 5.0085
angles: 90.00 90.00 90.00
Closest atoms and distances in Å follow each position.
Atoms (fractional coordinates):
As: 0.0000 0.5000 0.0000  2 Ge 2.50
As: 0.0000 0.0000 0.5000  2 Ge 2.50
As: 0.5000 0.0000 0.0000  2 Ge 2.50
Ca: 0.5000 0.5000 0.5000  12 As 3.54
Ge: 0.0000 0.0000 0.0000  6 As 2.50

Entry 5:
## Ca2Ge2As (GGA-PBE)

Data for an optimized crystal structure of Ca2Ge2As.

**Energy of formation from the pure elements**: -0.5704 eV per atom
**Polymorph energy (0 for the lowest one)**: 0 meV/atom

abc: 7.3374 7.3374 4.3788
angles: 90.00 90.00 90.00
Closest atoms and distances in Å follow each position.
Atoms (fractional coordinates):
As: 0.0000 0.0000 0.0000  4 Ge 2.91
As: 0.5000 0.5000 0.0000  4 Ge 2.91
Ca: 0.1779 0.6779 0.5000  6 Ge 3.02-3.13
Ca: 0.6779 0.8221 0.5000  6 Ge 3.02-3.13
Ca: 0.8221 0.3221 0.5000  6 Ge 3.02-3.13
Ca: 0.3221 0.1779 0.5000  6 Ge 3.02-3.13
Ge: 0.3778 0.8778 0.0000  1 Ge 2.54
Ge: 0.8778 0.6222 0.0000  1 Ge 2.54
Ge: 0.6222 0.1222 0.0000  1 Ge 2.54
Ge: 0.1222 0.3778 0.0000  1 Ge 2.54

Entry 6:
## CaGeAs (GGA-PBE)

Data for an optimized crystal structure of CaGeAs.

**Energy of formation from the pure elements**: -0.3680 eV per atom

abc: 5.1577 4.2691 7.9334
angles: 105.61 108.97 90.00
Closest atoms and distances in Å follow each position.
Atoms (fractional coordinates):
Ca: 0.6450 0.1450 0.2899  1 As 2.93, 4 Ge 3.22
Ca: 0.3550 0.8550 0.7101  1 As 2.93, 4 Ge 3.22
Ge: 0.7352 0.5000 0.0000  1 Ge 2.43, 2 As 2.57
Ge: 0.2648 0.5000 0.0000  1 Ge 2.43, 2 As 2.57
As: 0.1512 0.6512 0.3025  2 Ge 2.57
As: 0.8488 0.3488 0.6975  2 Ge 2.57

Entry 7:
## Ca5Ge2As6 (GGA-PBE)

Data for an optimized crystal structure of Ca5Ge2As6.

**Energy of formation from the pure elements**: -0.8522 eV per atom

abc: 4.0860 11.3611 13.9503
angles: 90.00 90.00 90.00
Closest atoms and distances in Å follow each position.
Atoms (fractional coordinates):
Ca: 0.5000 0.3333 0.4881  7 As 3.01-3.29
Ca: 0.5000 0.6667 0.5119  7 As 3.01-3.29
Ca: 0.5000 0.8333 0.0119  7 As 3.01-3.29
Ca: 0.5000 0.1667 0.9881  7 As 3.01-3.29
Ca: 0.5000 0.5716 0.2511  6 As 3.01-3.10
Ca: 0.5000 0.4284 0.7489  6 As 3.01-3.10
Ca: 0.5000 0.0716 0.2489  6 As 3.01-3.10
Ca: 0.5000 0.9284 0.7511  6 As 3.01-3.10
Ca: 0.5000 0.5000 0.0000  6 As 3.05-3.11
Ca: 0.5000 0.0000 0.5000  6 As 3.05-3.11
Ge: 0.0000 0.3234 0.2790  4 As 2.50-2.57
Ge: 0.0000 0.6766 0.7210  4 As 2.50-2.57
Ge: 0.0000 0.8234 0.2210  4 As 2.50-2.57
Ge: 0.0000 0.1766 0.7790  4 As 2.50-2.57
As: 0.0000 0.1542 0.3976  1 Ge 2.54
As: 0.0000 0.8458 0.6024  1 Ge 2.54
As: 0.0000 0.6542 0.1024  1 Ge 2.54
As: 0.0000 0.3458 0.8976  1 Ge 2.54
As: 0.5000 0.3190 0.1674  2 Ge 2.57
As: 0.5000 0.6810 0.8326  2 Ge 2.57
As: 0.5000 0.8190 0.3326  2 Ge 2.57
As: 0.5000 0.1810 0.6674  2 Ge 2.57
As: 0.0000 0.4908 0.3951  1 Ge 2.50
As: 0.0000 0.5092 0.6049  1 Ge 2.50
As: 0.0000 0.9908 0.1049  1 Ge 2.50
As: 0.0000 0.0092 0.8951  1 Ge 2.50

Entry 8:
## CaGe2As2 (GGA-PBE)

Data for an optimized crystal structure of CaGe2As2.

**Energy of formation from the pure elements**: -0.2782 eV per atom

abc: 5.1240 5.1240 5.6335
angles: 62.95 62.95 90.00
Closest atoms and distances in Å follow each position.
Atoms (fractional coordinates):
As: 0.7500 0.2500 0.5000  4 Ge 2.70
As: 0.2500 0.7500 0.5000  4 Ge 2.70
Ca: 0.0000 0.0000 0.0000  2 Ge 3.01, 8 As 3.35
Ge: 0.3492 0.3492 0.3015  1 Ge 2.60, 4 As 2.70
Ge: 0.6508 0.6508 0.6985  1 Ge 2.60, 4 As 2.70

Entry 9:
## CaGe2As2 (GGA-PBE)

Data for an optimized crystal structure of CaGe2As2.

**Energy of formation from the pure elements**: -0.2321 eV per atom

abc: 4.0168 4.0168 7.5505
angles: 74.57 74.57 90.00
Closest atoms and distances in Å follow each position.
Atoms (fractional coordinates):
As: 0.4096 0.4096 0.1808  1 As 2.53
As: 0.5904 0.5904 0.8192  1 As 2.53
Ca: 0.0000 0.0000 0.0000  8 As 3.11
Ge: 0.7500 0.2500 0.5000  4 Ge 2.84, 4 As 3.00
Ge: 0.2500 0.7500 0.5000  4 Ge 2.84, 4 As 3.00

Entry 10:
## Ca3GeAs3 (GGA-PBE)

Data for an optimized crystal structure of Ca3GeAs3.

**Energy of formation from the pure elements**: -0.8453 eV per atom
**Polymorph energy (0 for the lowest one)**: 0 meV/atom

abc: 6.3826 9.8583 12.2583
angles: 90.00 90.00 108.89
Closest atoms and distances in Å follow each position.
Atoms (fractional coordinates):
Ca: 0.6878 0.0000 0.8573  5 As 2.96-3.23, 2 Ge 3.12
Ca: 0.8122 0.0000 0.3573  5 As 2.96-3.23, 2 Ge 3.12
Ca: 0.1878 0.0000 0.6427  5 As 2.96-3.23, 2 Ge 3.12
Ca: 0.3122 0.0000 0.1427  5 As 2.96-3.23, 2 Ge 3.12
Ca: 0.0084 0.6481 0.3682  5 As 2.99-3.34, 1 Ge 3.05
Ca: 0.4916 0.3519 0.8682  5 As 2.99-3.34, 1 Ge 3.05
Ca: 0.8604 0.3519 0.1318  5 As 2.99-3.34, 1 Ge 3.05
Ca: 0.6396 0.6481 0.6318  5 As 2.99-3.34, 1 Ge 3.05
Ca: 0.9916 0.3519 0.6318  5 As 2.99-3.34, 1 Ge 3.05
Ca: 0.5084 0.6481 0.1318  5 As 2.99-3.34, 1 Ge 3.05
Ca: 0.1396 0.6481 0.8682  5 As 2.99-3.34, 1 Ge 3.05
Ca: 0.3604 0.3519 0.3682  5 As 2.99-3.34, 1 Ge 3.05
Ge: 0.4115 0.8231 0.5000  4 As 2.50-2.62
Ge: 0.0885 0.1769 0.0000  4 As 2.50-2.62
Ge: 0.5885 0.1769 0.5000  4 As 2.50-2.62
Ge: 0.9115 0.8231 0.0000  4 As 2.50-2.62
As: 0.2273 0.0000 0.8832  2 Ge 2.62
As: 0.2727 0.0000 0.3832  2 Ge 2.62
As: 0.7273 0.0000 0.6168  2 Ge 2.62
As: 0.7727 0.0000 0.1168  2 Ge 2.62
As: 0.5531 0.6714 0.3756  1 Ge 2.50
As: 0.9469 0.3286 0.8756  1 Ge 2.50
As: 0.3817 0.3286 0.1244  1 Ge 2.50
As: 0.1183 0.6714 0.6244  1 Ge 2.50
As: 0.4469 0.3286 0.6244  1 Ge 2.50
As: 0.0531 0.6714 0.1244  1 Ge 2.50
As: 0.6183 0.6714 0.8756  1 Ge 2.50
As: 0.8817 0.3286 0.3756  1 Ge 2.50

| no. | density (Mg/m³) | size of the total moment (μB per formula unit) |
| --- | --- | --- |
| 1 | 4.8 | 0.00 |
| 2 | 4.3 | 0.00 |
| 3 | 4.6 | 0.00 |
| 4 | 4.5 | 0.00 |
| 5 | 4.2 | 0.00 |
| 6 | 3.9 | 0.00 |
| 7 | 4.1 | 0.00 |
| 8 | 4.9 | 0.00 |
| 9 | 4.9 | 0.00 |
| 10 | 3.8 | 0.00 |